[1]
A geometry-optimized Pm3AlP2Rh9 structure. Source: Alexandria via LeMat-Bulk, functional GGA-PBE.

Lattice parameters (Å, degrees): 6.374 6.374 7.764 90.00 90.00 120.00
Atoms (fractional coordinates):
Pm: 0.000 0.000 0.000
Pm: 0.333 0.667 0.658
Pm: 0.667 0.333 0.342
Al: 0.000 0.000 0.500
P: 0.333 0.667 0.162
P: 0.667 0.333 0.838
Rh: 0.000 0.500 0.000
Rh: 0.170 0.341 0.325
Rh: 0.170 0.830 0.325
Rh: 0.341 0.170 0.675
Rh: 0.500 0.000 0.000
Rh: 0.500 0.500 0.000
Rh: 0.659 0.830 0.325
Rh: 0.830 0.170 0.675
Rh: 0.830 0.659 0.675

Results
Formation enthalpy at 0 K ... -62 kJ/mol of atoms


[2]
A geometry-optimized Sr2EuSe structure. Source: Alexandria via LeMat-Bulk, functional GGA-PBE.

Lattice parameters (Å, degrees): 11.632 11.632 11.632 20.78 20.78 20.78
Atoms (fractional coordinates):
Sr: 0.110 0.110 0.110
Sr: 0.890 0.890 0.890
Eu: 0.000 0.000 0.000
Se: 0.500 0.500 0.500

Results
Formation energy without anion corrections ... -77.6 kJ per mole of atoms